No. 1
{"formula": "ErInPt", "functional": "PBE-GGA", "state": "optimized geometry", "m_tot_mub_per_atom": 0.000, "mass_density_g_cm3": 10.821, "n_ef_per_ev_cell": 14.96, "e_tot_ev_per_atom": -5.33, "ef_ev_per_atom": -0.881, "lattice": [[6.641, 0.000, 0.000], [0.000, 6.641, 0.000], [0.000, 0.000, 6.641]], "species": ["Er", "Er", "Er", "Er", "In", "In", "In", "In", "Pt", "Pt", "Pt", "Pt"], "frac_coords": [[0.000, 0.000, 0.000], [0.000, 0.500, 0.500], [0.500, 0.000, 0.500], [0.500, 0.500, 0.000], [0.000, 0.000, 0.500], [0.000, 0.500, 0.000], [0.500, 0.000, 0.000], [0.500, 0.500, 0.500], [0.250, 0.250, 0.250], [0.250, 0.750, 0.750], [0.750, 0.250, 0.750], [0.750, 0.750, 0.250]]}

---

No. 2
{"formula": "ZnSi2Bi", "functional": "PBE-GGA", "state": "optimized geometry", "m_tot_mub_per_atom": 0.000, "mass_density_g_cm3": 5.237, "n_ef_per_ev_cell": 9.19, "formation_energy_uncorrected_ev_per_atom": 0.427, "e_tot_ev_per_atom": -3.57, "lattice": [[5.907, 0.000, 0.000], [0.000, 5.907, 0.000], [0.000, 0.000, 12.016]], "species": ["Zn", "Zn", "Zn", "Zn", "Si", "Si", "Si", "Si", "Si", "Si", "Si", "Si", "Bi", "Bi", "Bi", "Bi"], "frac_coords": [[0.000, 0.000, 0.000], [0.000, 0.500, 0.250], [0.500, 0.000, 0.750], [0.500, 0.500, 0.500], [0.202, 0.250, 0.125], [0.250, 0.702, 0.375], [0.250, 0.798, 0.875], [0.298, 0.250, 0.625], [0.702, 0.750, 0.625], [0.750, 0.202, 0.875], [0.750, 0.298, 0.375], [0.798, 0.750, 0.125], [0.000, 0.000, 0.500], [0.000, 0.500, 0.750], [0.500, 0.000, 0.250], [0.500, 0.500, 0.000]]}

---

No. 3
{"formula": "Tb8P3S4", "functional": "PBE-GGA", "state": "optimized geometry", "m_tot_mub_per_atom": 0.000, "mass_density_g_cm3": 7.093, "n_ef_per_ev_cell": 6.09, "formation_energy_uncorrected_ev_per_atom": -1.756, "e_tot_ev_per_atom": -6.41, "lattice": [[5.580, -5.592, 0.000], [5.580, 5.592, 0.000], [-5.579, 0.000, 5.600]], "species": ["Tb", "Tb", "Tb", "Tb", "Tb", "Tb", "Tb", "Tb", "P", "P", "P", "S", "S", "S", "S"], "frac_coords": [[0.244, 0.244, 0.993], [0.247, 0.753, 0.000], [0.248, 0.248, 0.497], [0.248, 0.752, 0.500], [0.752, 0.248, 0.500], [0.752, 0.752, 0.503], [0.753, 0.247, 0.000], [0.756, 0.756, 0.007], [0.000, 0.000, 0.000], [0.000, 0.500, 0.500], [0.500, 0.000, 0.500], [0.000, 0.000, 0.500], [0.000, 0.500, 0.000], [0.500, 0.000, 0.000], [0.500, 0.500, 0.000]]}

---

No. 4
{"formula": "TbPaAsSe", "functional": "PBE-GGA", "state": "optimized geometry", "m_tot_mub_per_atom": 0.253, "mass_density_g_cm3": 9.072, "n_ef_per_ev_cell": 13.44, "formation_energy_uncorrected_ev_per_atom": -1.311, "e_tot_ev_per_atom": -6.88, "lattice": [[3.967, 0.000, 0.000], [-1.983, 3.435, 0.000], [0.000, 0.000, 21.916]], "species": ["Tb", "Tb", "Tb", "Pa", "Pa", "Pa", "As", "As", "As", "Se", "Se", "Se"], "frac_coords": [[0.000, 0.000, 0.000], [0.333, 0.667, 0.667], [0.667, 0.333, 0.333], [0.000, 0.000, 0.822], [0.333, 0.667, 0.488], [0.667, 0.333, 0.155], [0.000, 0.000, 0.410], [0.333, 0.667, 0.077], [0.667, 0.333, 0.744], [0.000, 0.000, 0.243], [0.333, 0.667, 0.910], [0.667, 0.333, 0.577]]}

---

No. 5
{"formula": "Np2IrOs", "functional": "PBE-GGA", "state": "optimized geometry", "m_tot_mub_per_atom": 1.661, "mass_density_g_cm3": 18.188, "n_ef_per_ev_cell": 7.12, "e_tot_ev_per_atom": -11.53, "ef_ev_per_atom": -0.034, "lattice": [[3.316, 0.000, 0.000], [0.000, 3.316, 0.000], [0.000, 0.000, 7.111]], "species": ["Np", "Np", "Ir", "Os"], "frac_coords": [[0.000, 0.000, 0.250], [0.000, 0.000, 0.750], [0.500, 0.500, 0.000], [0.500, 0.500, 0.500]]}

---

No. 6
{"formula": "Ac4Hg", "functional": "PBE-GGA", "state": "optimized geometry", "m_tot_mub_per_atom": 0.000, "mass_density_g_cm3": 8.975, "n_ef_per_ev_cell": 13.33, "e_tot_ev_per_atom": -3.44, "ef_ev_per_atom": -0.091, "lattice": [[0.000, 8.248, 3.685], [6.749, 0.000, 3.685], [6.749, 8.248, 0.000]], "species": ["Ac", "Ac", "Ac", "Ac", "Ac", "Ac", "Ac", "Ac", "Hg", "Hg"], "frac_coords": [[0.106, 0.338, 0.009], [0.241, 0.703, 0.144], [0.318, 0.682, 0.460], [0.338, 0.106, 0.547], [0.682, 0.318, 0.540], [0.703, 0.241, 0.912], [0.710, 0.790, 0.568], [0.790, 0.710, 0.932], [0.142, 0.142, 0.358], [0.892, 0.892, 0.108]]}

---

No. 7
{"formula": "KCa2Al", "functional": "PBE-GGA", "state": "optimized geometry", "m_tot_mub_per_atom": 0.000, "mass_density_g_cm3": 1.513, "n_ef_per_ev_cell": 3.35, "e_tot_ev_per_atom": -2.11, "ef_ev_per_atom": 0.105, "lattice": [[4.151, 0.000, 0.000], [0.000, 4.151, 0.000], [0.000, 0.000, 9.314]], "species": ["K", "Ca", "Ca", "Al"], "frac_coords": [[0.000, 0.000, 0.000], [0.000, 0.000, 0.393], [0.500, 0.500, 0.644], [0.500, 0.500, 0.274]]}

---

No. 8
{"formula": "ZrMnCu2", "functional": "PBE-GGA", "state": "optimized geometry", "m_tot_mub_per_atom": 0.531, "mass_density_g_cm3": 7.733, "n_ef_per_ev_cell": 5.74, "e_tot_ev_per_atom": -6.48, "ef_ev_per_atom": -0.002, "lattice": [[3.820, 0.000, 0.000], [0.000, 3.820, 0.000], [0.000, 0.000, 8.041]], "species": ["Zr", "Zr", "Mn", "Mn", "Cu", "Cu", "Cu", "Cu"], "frac_coords": [[0.000, 0.000, 0.000], [0.500, 0.500, 0.500], [0.000, 0.000, 0.500], [0.500, 0.500, 0.000], [0.000, 0.500, 0.250], [0.000, 0.500, 0.750], [0.500, 0.000, 0.250], [0.500, 0.000, 0.750]]}

---

No. 9
{"formula": "RbSbO3", "functional": "PBE-GGA", "state": "optimized geometry", "m_tot_mub_per_atom": 0.000, "mass_density_g_cm3": 6.403, "n_ef_per_ev_cell": 0.62, "formation_energy_uncorrected_ev_per_atom": -1.376, "e_tot_ev_per_atom": -5.37, "lattice": [[4.045, 0.000, 0.000], [0.000, 4.045, 0.000], [0.000, 0.000, 4.045]], "species": ["Rb", "Sb", "O", "O", "O"], "frac_coords": [[0.000, 0.000, 0.000], [0.500, 0.500, 0.500], [0.000, 0.500, 0.500], [0.500, 0.000, 0.500], [0.500, 0.500, 0.000]]}

---

No. 10
{"formula": "Er4AsC2", "functional": "PBE-GGA", "state": "optimized geometry", "m_tot_mub_per_atom": 0.110, "mass_density_g_cm3": 8.736, "n_ef_per_ev_cell": 4.74, "e_tot_ev_per_atom": -6.49, "ef_ev_per_atom": -0.579, "lattice": [[-4.135, 4.135, 4.269], [4.135, -4.135, 4.269], [4.135, 4.135, -4.269]], "species": ["Er", "Er", "Er", "Er", "Er", "Er", "Er", "Er", "As", "As", "C", "C", "C", "C"], "frac_coords": [[0.229, 0.294, 0.565], [0.229, 0.664, 0.935], [0.294, 0.229, 0.065], [0.336, 0.771, 0.565], [0.664, 0.229, 0.435], [0.706, 0.771, 0.935], [0.771, 0.336, 0.065], [0.771, 0.706, 0.435], [0.125, 0.875, 0.250], [0.875, 0.125, 0.750], [0.000, 0.500, 0.500], [0.500, 0.000, 0.000], [0.500, 0.500, 0.000], [0.500, 0.500, 0.500]]}

---

No. 11
{"formula": "Pm2ThRu", "functional": "PBE-GGA", "state": "optimized geometry", "m_tot_mub_per_atom": 0.000, "mass_density_g_cm3": 8.836, "n_ef_per_ev_cell": 18.38, "e_tot_ev_per_atom": -6.83, "ef_ev_per_atom": -0.284, "lattice": [[7.286, 0.000, 0.000], [0.000, 9.923, 0.000], [0.000, 0.000, 6.479]], "species": ["Pm", "Pm", "Pm", "Pm", "Pm", "Pm", "Pm", "Pm", "Th", "Th", "Th", "Th", "Ru", "Ru", "Ru", "Ru"], "frac_coords": [[0.173, 0.067, 0.172], [0.173, 0.433, 0.172], [0.327, 0.567, 0.672], [0.327, 0.933, 0.672], [0.673, 0.067, 0.328], [0.673, 0.433, 0.328], [0.827, 0.567, 0.828], [0.827, 0.933, 0.828], [0.050, 0.250, 0.664], [0.450, 0.750, 0.164], [0.550, 0.250, 0.836], [0.950, 0.750, 0.336], [0.132, 0.750, 0.978], [0.368, 0.250, 0.478], [0.632, 0.750, 0.522], [0.868, 0.250, 0.022]]}

---

No. 12
{"formula": "YPaOsPd", "functional": "PBE-GGA", "state": "optimized geometry", "m_tot_mub_per_atom": 0.001, "mass_density_g_cm3": 12.224, "n_ef_per_ev_cell": 26.15, "e_tot_ev_per_atom": -8.49, "ef_ev_per_atom": -0.390, "lattice": [[6.945, 0.000, 0.000], [0.000, 6.945, 0.000], [0.000, 0.000, 6.945]], "species": ["Y", "Y", "Y", "Y", "Pa", "Pa", "Pa", "Pa", "Os", "Os", "Os", "Os", "Pd", "Pd", "Pd", "Pd"], "frac_coords": [[0.000, 0.000, 0.000], [0.000, 0.500, 0.500], [0.500, 0.000, 0.500], [0.500, 0.500, 0.000], [0.000, 0.000, 0.500], [0.000, 0.500, 0.000], [0.500, 0.000, 0.000], [0.500, 0.500, 0.500], [0.250, 0.250, 0.750], [0.250, 0.750, 0.250], [0.750, 0.250, 0.250], [0.750, 0.750, 0.750], [0.250, 0.250, 0.250], [0.250, 0.750, 0.750], [0.750, 0.250, 0.750], [0.750, 0.750, 0.250]]}

---

No. 13
{"formula": "Ba3TmHg2O6", "functional": "PBE-GGA", "state": "optimized geometry", "m_tot_mub_per_atom": 0.000, "mass_density_g_cm3": 7.472, "n_ef_per_ev_cell": 4.30, "formation_energy_uncorrected_ev_per_atom": -1.933, "e_tot_ev_per_atom": -5.32, "lattice": [[6.293, 0.000, 0.000], [-3.146, 5.450, 0.000], [0.000, 0.000, 6.987]], "species": ["Ba", "Ba", "Ba", "Tm", "Hg", "Hg", "O", "O", "O", "O", "O", "O"], "frac_coords": [[0.000, 0.000, 0.000], [0.333, 0.667, 0.616], [0.667, 0.333, 0.384], [0.000, 0.000, 0.500], [0.333, 0.667, 0.131], [0.667, 0.333, 0.869], [0.163, 0.325, 0.314], [0.163, 0.837, 0.314], [0.325, 0.163, 0.686], [0.675, 0.837, 0.314], [0.837, 0.163, 0.686], [0.837, 0.675, 0.686]]}

---

No. 14
{"formula": "SiBr2Cl2", "functional": "PBE-GGA", "state": "optimized geometry", "m_tot_mub_per_atom": 0.000, "mass_density_g_cm3": 2.814, "n_ef_per_ev_cell": 2.23, "formation_energy_uncorrected_ev_per_atom": 0.182, "e_tot_ev_per_atom": -2.31, "lattice": [[3.606, 0.000, 0.000], [0.000, 3.606, 0.000], [0.000, 0.000, 23.492]], "species": ["Si", "Si", "Br", "Br", "Br", "Br", "Cl", "Cl", "Cl", "Cl"], "frac_coords": [[0.000, 0.000, 0.000], [0.500, 0.500, 0.500], [0.000, 0.000, 0.430], [0.000, 0.000, 0.570], [0.500, 0.500, 0.070], [0.500, 0.500, 0.930], [0.000, 0.500, 0.250], [0.000, 0.500, 0.750], [0.500, 0.000, 0.250], [0.500, 0.000, 0.750]]}

---

No. 15
{"formula": "CdHgN2O", "functional": "PBE-GGA", "state": "optimized geometry", "m_tot_mub_per_atom": 0.524, "mass_density_g_cm3": 7.453, "n_ef_per_ev_cell": 2.04, "formation_energy_uncorrected_ev_per_atom": 1.677, "e_tot_ev_per_atom": -2.89, "lattice": [[4.273, 0.000, 0.000], [0.000, 4.273, 0.000], [0.000, 0.000, 4.357]], "species": ["Cd", "Hg", "N", "N", "O"], "frac_coords": [[0.000, 0.000, 0.000], [0.500, 0.500, 0.500], [0.000, 0.500, 0.500], [0.500, 0.000, 0.500], [0.500, 0.500, 0.000]]}

---

No. 16
{"formula": "TiBe2Co", "functional": "PBE-GGA", "state": "optimized geometry", "m_tot_mub_per_atom": 0.000, "mass_density_g_cm3": 4.389, "n_ef_per_ev_cell": 6.40, "e_tot_ev_per_atom": -5.35, "ef_ev_per_atom": 0.262, "lattice": [[3.364, 0.000, 0.000], [0.000, 3.364, 0.000], [0.000, 0.000, 16.690]], "species": ["Ti", "Ti", "Ti", "Ti", "Be", "Be", "Be", "Be", "Be", "Be", "Be", "Be", "Co", "Co", "Co", "Co"], "frac_coords": [[0.000, 0.000, 0.000], [0.000, 0.500, 0.250], [0.500, 0.000, 0.750], [0.500, 0.500, 0.500], [0.208, 0.250, 0.625], [0.250, 0.708, 0.875], [0.250, 0.792, 0.375], [0.292, 0.250, 0.125], [0.708, 0.750, 0.125], [0.750, 0.208, 0.375], [0.750, 0.292, 0.875], [0.792, 0.750, 0.625], [0.000, 0.000, 0.500], [0.000, 0.500, 0.750], [0.500, 0.000, 0.250], [0.500, 0.500, 0.000]]}

---

No. 17
{"formula": "Al2AsSe", "functional": "PBE-GGA", "state": "optimized geometry", "m_tot_mub_per_atom": 0.000, "mass_density_g_cm3": 4.400, "n_ef_per_ev_cell": 2.41, "formation_energy_uncorrected_ev_per_atom": -0.169, "e_tot_ev_per_atom": -4.07, "lattice": [[3.521, 0.000, 0.000], [0.000, 3.533, 0.000], [0.000, 0.000, 12.611]], "species": ["Al", "Al", "Al", "Al", "As", "As", "Se", "Se"], "frac_coords": [[0.000, 0.000, 0.000], [0.000, 0.500, 0.270], [0.500, 0.000, 0.770], [0.500, 0.500, 0.500], [0.000, 0.500, 0.842], [0.500, 0.000, 0.342], [0.000, 0.000, 0.593], [0.500, 0.500, 0.093]]}

---

No. 18
{"formula": "Si2Ge2Sb", "functional": "PBE-GGA", "state": "optimized geometry", "m_tot_mub_per_atom": 0.000, "mass_density_g_cm3": 5.353, "n_ef_per_ev_cell": 4.90, "formation_energy_uncorrected_ev_per_atom": 0.355, "e_tot_ev_per_atom": -4.49, "lattice": [[3.617, 0.000, 0.000], [0.000, 3.617, 0.000], [0.000, 0.000, 15.329]], "species": ["Si", "Si", "Si", "Si", "Ge", "Ge", "Ge", "Ge", "Sb", "Sb"], "frac_coords": [[0.000, 0.500, 0.250], [0.000, 0.500, 0.750], [0.500, 0.000, 0.250], [0.500, 0.000, 0.750], [0.000, 0.000, 0.117], [0.000, 0.000, 0.883], [0.500, 0.500, 0.383], [0.500, 0.500, 0.617], [0.000, 0.000, 0.500], [0.500, 0.500, 0.000]]}

---

No. 19
{"formula": "CeSbAs", "functional": "PBE-GGA", "state": "optimized geometry", "m_tot_mub_per_atom": 0.000, "mass_density_g_cm3": 7.262, "n_ef_per_ev_cell": 6.63, "formation_energy_uncorrected_ev_per_atom": -0.918, "e_tot_ev_per_atom": -5.82, "lattice": [[4.220, 0.000, 0.000], [0.000, 4.220, 0.000], [0.000, 0.000, 17.302]], "species": ["Ce", "Ce", "Ce", "Ce", "Sb", "Sb", "Sb", "Sb", "As", "As", "As", "As"], "frac_coords": [[0.000, 0.000, 0.153], [0.000, 0.000, 0.847], [0.500, 0.500, 0.347], [0.500, 0.500, 0.653], [0.000, 0.500, 0.000], [0.000, 0.500, 0.500], [0.500, 0.000, 0.000], [0.500, 0.000, 0.500], [0.000, 0.000, 0.321], [0.000, 0.000, 0.679], [0.500, 0.500, 0.179], [0.500, 0.500, 0.821]]}

---

No. 20
{"formula": "Nb3OsBr", "functional": "PBE-GGA", "state": "optimized geometry", "m_tot_mub_per_atom": 0.000, "mass_density_g_cm3": 9.068, "n_ef_per_ev_cell": 9.53, "formation_energy_uncorrected_ev_per_atom": 1.505, "e_tot_ev_per_atom": -7.12, "lattice": [[4.649, 0.000, 0.000], [0.000, 4.649, 0.000], [0.000, 0.000, 4.649]], "species": ["Nb", "Nb", "Nb", "Os", "Br"], "frac_coords": [[0.000, 0.000, 0.500], [0.000, 0.500, 0.000], [0.500, 0.000, 0.000], [0.500, 0.500, 0.500], [0.000, 0.000, 0.000]]}